A plane-wave DFT calculation with PBE with a Hubbard U was carried out for crystalline MnMoNO2 at its relaxed geometry.

Calculated values
Uncorrected energy ... -6.7093 eV per atom
Crystal system ... tetragonal

Lattice parameters (Å, degrees): 3.654 3.654 4.151 90.00 90.00 90.00
Element x y z (fractional)
Mn 0.000 0.000 0.000
Mo 0.500 0.500 0.500
N 0.000 0.000 0.500
O 0.000 0.500 0.000
O 0.500 0.000 0.000